Density functional theory data (PBE with a Hubbard U) for a relaxed MnCdPtO6 crystal.

space-group type = P-31c (163)
volume = 12.3 Å³/atom
size of the total moment = 1.13 μB/f.u.
total energy = -102.41 eV for the cell shown

Cell: 5.1542 5.1542 9.6308 Å, 90.00 90.00 120.00°
With the nearest neighbours (Å) after each atom.
Atoms (fractional coordinates):
Mn 0.3333 0.6667 0.2500  6 O 1.93
Mn 0.6667 0.3333 0.7500  6 O 1.93
Cd 0.0000 0.0000 0.0000  6 O 2.32
Cd 0.0000 0.0000 0.5000  6 O 2.32
Pt 0.3333 0.6667 0.7500  6 O 1.98
Pt 0.6667 0.3333 0.2500  6 O 1.98
O 0.0080 0.3702 0.1398  1 Mn 1.93, 1 Pt 1.98
O 0.0080 0.6378 0.3602  1 Mn 1.93, 1 Pt 1.98
O 0.3622 0.3702 0.3602  1 Mn 1.93, 1 Pt 1.98
O 0.3622 0.9920 0.1398  1 Mn 1.93, 1 Pt 1.98
O 0.3702 0.0080 0.6398  1 Mn 1.93, 1 Pt 1.98
O 0.3702 0.3622 0.8602  1 Mn 1.93, 1 Pt 1.98
O 0.6298 0.6378 0.1398  1 Mn 1.93, 1 Pt 1.98
O 0.6298 0.9920 0.3602  1 Mn 1.93, 1 Pt 1.98
O 0.6378 0.0080 0.8602  1 Mn 1.93, 1 Pt 1.98
O 0.6378 0.6298 0.6398  1 Mn 1.93, 1 Pt 1.98
O 0.9920 0.3622 0.6398  1 Mn 1.93, 1 Pt 1.98
O 0.9920 0.6298 0.8602  1 Mn 1.93, 1 Pt 1.98